Entry 1:
# TbErAlSi GGA-PBE relaxed
# - ΔE_f (raw) (eV per atom) = -0.65
data_TbErAlSi
_chemical_formula_sum 'Tb2 Er2 Al2 Si2'
_space_group_name_H-M_alt 'A m m 2'
_space_group_IT_number 38
_space_group_name_Hall 'A 2 -2'
_cell_length_a 3.978
_cell_length_b 4.325
_cell_length_c 10.802
_cell_angle_alpha 90.00
_cell_angle_beta 90.00
_cell_angle_gamma 90.00
loop_
_atom_site_label
_atom_site_type_symbol
_atom_site_fract_x
_atom_site_fract_y
_atom_site_fract_z
Tb1 Tb 0.000 0.000 0.000
Er1 Er 0.500 0.000 0.283
Al1 Al 0.500 0.000 0.571
Si1 Si 0.000 0.000 0.719

---

Entry 2:
# K2NdPa2Se6 GGA-PBE relaxed
# - ΔE_f (raw) (eV per atom) = -1.49
data_K2NdPa2Se6
_chemical_formula_sum 'K4 Nd2 Pa4 Se12'
_space_group_name_H-M_alt 'C 1 2/m 1'
_space_group_IT_number 12
_space_group_name_Hall '-C 2y'
_cell_length_a 7.274
_cell_length_b 12.636
_cell_length_c 8.264
_cell_angle_alpha 90.00
_cell_angle_beta 106.57
_cell_angle_gamma 90.00
loop_
_atom_site_label
_atom_site_type_symbol
_atom_site_fract_x
_atom_site_fract_y
_atom_site_fract_z
K1 K 0.000 0.164 0.000
Nd1 Nd 0.000 0.000 0.500
Pa1 Pa 0.000 0.336 0.500
Se1 Se 0.224 0.500 0.708
Se2 Se 0.237 0.173 0.704

---

Entry 3:
# PmTm6In4 GGA-PBE relaxed
# - DFT formation energy (eV per formula unit) = -3.13
data_PmTm6In4
_chemical_formula_sum 'Pm1 Tm6 In4'
_space_group_name_H-M_alt 'P -6 m 2'
_space_group_IT_number 187
_space_group_name_Hall 'P -6 2'
_cell_length_a 9.9780
_cell_length_b 9.9780
_cell_length_c 3.6924
_cell_angle_alpha 90.00
_cell_angle_beta 90.00
_cell_angle_gamma 120.00
loop_
_atom_site_label
_atom_site_type_symbol
_atom_site_fract_x
_atom_site_fract_y
_atom_site_fract_z
Pm1 Pm 0.0000 0.0000 0.0000
Tm1 Tm 0.0723 0.5361 0.0000
Tm2 Tm 0.3805 0.1903 0.5000
In1 In 0.1644 0.3289 0.5000
In2 In 0.6667 0.3333 0.0000

---

Entry 4:
# GeAsBr2 GGA-PBE relaxed
# - ΔE_f (raw) (eV per atom) = 0.46
data_GeAsBr2
_chemical_formula_sum 'Ge4 As4 Br8'
_space_group_name_H-M_alt 'F m -3 m'
_space_group_IT_number 225
_space_group_name_Hall '-F 4 2 3'
_cell_length_a 7.195
_cell_length_b 7.195
_cell_length_c 7.195
_cell_angle_alpha 90.00
_cell_angle_beta 90.00
_cell_angle_gamma 90.00
loop_
_atom_site_label
_atom_site_type_symbol
_atom_site_fract_x
_atom_site_fract_y
_atom_site_fract_z
Ge1 Ge 0.000 0.000 0.000
As1 As 0.000 0.000 0.500
Br1 Br 0.250 0.250 0.250

---

Entry 5:
# Ag2HgPdAu GGA-PBE relaxed
# - DFT formation energy (eV per formula unit) = -0.10
data_Ag2HgPdAu
_chemical_formula_sum 'Ag8 Hg4 Pd4 Au4'
_space_group_name_H-M_alt 'C 1 2/m 1'
_space_group_IT_number 12
_space_group_name_Hall '-C 2y'
_cell_length_a 9.284
_cell_length_b 4.213
_cell_length_c 9.294
_cell_angle_alpha 90.00
_cell_angle_beta 90.29
_cell_angle_gamma 90.00
loop_
_atom_site_label
_atom_site_type_symbol
_atom_site_fract_x
_atom_site_fract_y
_atom_site_fract_z
Ag1 Ag 0.044 0.000 0.163
Ag2 Ag 0.242 0.500 0.260
Hg1 Hg 0.150 0.500 0.937
Pd1 Pd 0.056 0.500 0.642
Au1 Au 0.146 0.000 0.453

---

Entry 6:
# Li10Te4Se GGA-PBE relaxed
# - ΔE_f (raw) (eV per atom) = -1.07
data_Li10Te4Se
_chemical_formula_sum 'Li30 Te12 Se3'
_space_group_name_H-M_alt 'R -3 m'
_space_group_IT_number 166
_space_group_name_Hall '-R 3 2"'
_cell_length_a 4.5464
_cell_length_b 4.5464
_cell_length_c 55.6317
_cell_angle_alpha 90.00
_cell_angle_beta 90.00
_cell_angle_gamma 120.00
loop_
_atom_site_label
_atom_site_type_symbol
_atom_site_fract_x
_atom_site_fract_y
_atom_site_fract_z
Li1 Li 0.0000 0.0000 0.0466
Li2 Li 0.0000 0.0000 0.1499
Li3 Li 0.0000 0.0000 0.2517
Li4 Li 0.0000 0.0000 0.3473
Li5 Li 0.0000 0.0000 0.4485
Te1 Te 0.0000 0.0000 0.2008
Te2 Te 0.0000 0.0000 0.3978
Se1 Se 0.0000 0.0000 0.0000

---

Entry 7:
# TiFeNiIr GGA-PBE relaxed
# - DFT formation energy (eV per formula unit) = -1.86
data_TiFeNiIr
_chemical_formula_sum 'Ti1 Fe1 Ni1 Ir1'
_space_group_name_H-M_alt 'P m m m'
_space_group_IT_number 47
_space_group_name_Hall '-P 2 2'
_cell_length_a 3.680
_cell_length_b 3.746
_cell_length_c 3.797
_cell_angle_alpha 90.00
_cell_angle_beta 90.00
_cell_angle_gamma 90.00
loop_
_atom_site_label
_atom_site_type_symbol
_atom_site_fract_x
_atom_site_fract_y
_atom_site_fract_z
Ti1 Ti 0.000 0.000 0.000
Fe1 Fe 0.000 0.500 0.500
Ni1 Ni 0.500 0.000 0.500
Ir1 Ir 0.500 0.500 0.000

---

Entry 8:
# CaPm2ErTe4 GGA-PBE relaxed
# - ΔE_f (raw) (eV per atom) = -1.41
data_CaPm2ErTe4
_chemical_formula_sum 'Ca1 Pm2 Er1 Te4'
_space_group_name_H-M_alt 'P 1 2/m 1'
_space_group_IT_number 10
_space_group_name_Hall '-P 2y'
_cell_length_a 7.634
_cell_length_b 4.389
_cell_length_c 7.766
_cell_angle_alpha 90.00
_cell_angle_beta 108.84
_cell_angle_gamma 90.00
loop_
_atom_site_label
_atom_site_type_symbol
_atom_site_fract_x
_atom_site_fract_y
_atom_site_fract_z
Ca1 Ca 0.000 0.000 0.000
Pm1 Pm 0.000 0.500 0.500
Pm2 Pm 0.500 0.000 0.500
Er1 Er 0.500 0.500 0.000
Te1 Te 0.251 0.500 0.242
Te2 Te 0.256 0.000 0.761

---

Ordered density of states at the Fermi level results: 0.812 1.098 0.916 1.022 0.373 0.000 0.936 0.482; unit states/eV per atom.
Ordered theoretical density results: 6.8 5.3 8.4 5.5 13.1 3.3 11.2 6.8; unit g/cm3.